Record 1
First-principles (PBE) data for a relaxed structure of CuH, as listed in OQMD.

Results
Uncorrected energy ... -2.97 eV/atom
Crystal system ... cubic
Density ... 7.01 g cm⁻³

Lattice parameters (Å, degrees): 2.482 2.482 2.482 90.00 90.00 90.00
Space group Pm-3m (No. 221)
One atom of each set of equivalent atoms:
Cu1 0.000 0.000 0.000 x1
H1 0.500 0.500 0.500 x1

Record 2
First-principles (PBE) data for a relaxed structure of Zn2SbMo, as listed in OQMD.

Results
Uncorrected energy ... -3.89 eV/atom
Crystal system ... cubic
Density ... 8.30 g cm⁻³
Total magnetization ... 0.06 μB per formula unit

Lattice parameters (Å, degrees): 6.534 6.534 6.534 90.00 90.00 90.00
Space group F-43m (No. 216)
One atom of each set of equivalent atoms:
Zn1 0.000 0.000 0.000 x4
Zn2 0.250 0.250 0.250 x4
Sb1 0.000 0.000 0.500 x4
Mo1 0.250 0.250 0.750 x4

Record 3
First-principles (PBE) data for a relaxed structure of NdGdNi2As2, as listed in OQMD.

Results
Uncorrected energy ... -6.03 eV/atom
Crystal system ... trigonal
Density ... 8.10 g cm⁻³
Total magnetization ... 0.00 μB per formula unit

Lattice parameters (Å, degrees): 4.1105 4.1105 7.9673 90.00 90.00 120.00
Space group P-3m1 (No. 164)
One atom of each set of equivalent atoms:
Nd1 0.0000 0.0000 0.0000 x1
Gd1 0.0000 0.0000 0.5000 x1
Ni1 0.3333 0.6667 0.2545 x2
As1 0.3333 0.6667 0.7430 x2

Record 4
First-principles (PBE) data for a relaxed structure of HoLuOs, as listed in OQMD.

Results
Calculated formation energy ... -96 kJ/mol of formula units
E above lowest polymorph ... 0 meV per atom
Crystal system ... orthorhombic
Density ... 12.88 g cm⁻³
Total magnetization ... 0.00 μB per formula unit

Lattice parameters (Å, degrees): 7.344 4.259 8.740 90.00 90.00 90.00
Space group Pnma (No. 62)
One atom of each set of equivalent atoms:
Ho1 0.025 0.250 0.168 x4
Lu1 0.145 0.250 0.565 x4
Os1 0.243 0.750 0.377 x4

Record 5
First-principles (PBE) data for a relaxed structure of Tb2TmTl3PtAu2, as listed in OQMD.

Results
Uncorrected energy ... -4.35 eV/atom
Crystal system ... orthorhombic
Density ... 13.56 g cm⁻³
Total magnetization ... 0.02 μB per formula unit

Lattice parameters (Å, degrees): 3.911 13.526 7.820 90.00 90.00 90.00
Space group Amm2 (No. 38)
One atom of each set of equivalent atoms:
Tb1 0.000 0.199 0.000 x4
Tm1 0.000 0.000 0.404 x2
Tl1 0.500 0.000 0.062 x2
Tl2 0.500 0.132 0.670 x4
Pt1 0.000 0.000 0.797 x2
Au1 0.500 0.164 0.302 x4

Record 6
First-principles (PBE) data for a relaxed structure of TbYSnCl2, as listed in OQMD.

Results
Uncorrected energy ... -5.25 eV/atom
Crystal system ... trigonal
Density ... 4.80 g cm⁻³
Total magnetization ... 0.00 μB per formula unit

Lattice parameters (Å, degrees): 4.1934 4.1934 9.9377 90.00 90.00 120.00
Space group P3m1 (No. 156)
One atom of each set of equivalent atoms:
Tb1 0.0000 0.0000 0.0000 x1
Y1 0.6667 0.3333 0.3644 x1
Sn1 0.3333 0.6667 0.1827 x1
Cl1 0.0000 0.0000 0.5146 x1
Cl2 0.6667 0.3333 0.8496 x1

Record 7
First-principles (PBE) data for a relaxed structure of Tb5Sn2Bi2, as listed in OQMD.

Results
Uncorrected energy ... -5.18 eV/atom
Crystal system ... orthorhombic
Density ... 9.05 g cm⁻³
Total magnetization ... 0.03 μB per formula unit

Lattice parameters (Å, degrees): 15.653 8.231 8.257 90.00 90.00 90.00
Space group Cmce (No. 64)
One atom of each set of equivalent atoms:
Tb1 0.000 0.000 0.000 x4
Tb2 0.132 0.165 0.336 x16
Sn1 0.000 0.136 0.636 x8
Bi1 0.204 0.000 0.000 x8

Record 8
First-principles (PBE) data for a relaxed structure of BaPaB, as listed in OQMD.

Results
E above lowest polymorph ... 0 meV per atom
Crystal system ... cubic
Density ... 8.61 g cm⁻³
Total magnetization ... 0.01 μB per formula unit

Lattice parameters (Å, degrees): 6.637 6.637 6.637 90.00 90.00 90.00
Space group F-43m (No. 216)
One atom of each set of equivalent atoms:
Ba1 0.000 0.000 0.000 x4
Pa1 0.000 0.000 0.500 x4
B1 0.250 0.250 0.250 x4

Record 9
First-principles (PBE) data for a relaxed structure of BaReO3, as listed in OQMD.

Results
Uncorrected energy ... -6.32 eV/atom
Crystal system ... tetragonal
Density ... 7.71 g cm⁻³
Total magnetization ... 0.22 μB per formula unit

Lattice parameters (Å, degrees): 4.017 4.017 4.957 90.00 90.00 90.00
Space group P4mm (No. 99)
One atom of each set of equivalent atoms:
Ba1 0.000 0.000 0.000 x1
Re1 0.500 0.500 0.486 x1
O1 0.000 0.000 0.501 x1
O2 0.000 0.500 0.484 x2

Record 10
First-principles (PBE) data for a relaxed structure of Cs2Gd, as listed in OQMD.

Results
Uncorrected energy ... -1.25 eV/atom
Crystal system ... cubic
Density ... 3.85 g cm⁻³
Total magnetization ... 1.43 μB per formula unit

Lattice parameters (Å, degrees): 11.346 11.346 11.346 90.00 90.00 90.00
Space group Fd-3m (No. 227, origin choice 2)
One atom of each set of equivalent atoms:
Cs1 0.000 0.000 0.000 x16
Gd1 0.125 0.125 0.625 x8

Record 11
First-principles (PBE) data for a relaxed structure of LuAlNiPt, as listed in OQMD.

Results
E above lowest polymorph ... 0 meV per atom
Crystal system ... cubic
Density ... 11.58 g cm⁻³
Total magnetization ... 0.00 μB per formula unit

Lattice parameters (Å, degrees): 6.393 6.393 6.393 90.00 90.00 90.00
Space group F-43m (No. 216)
One atom of each set of equivalent atoms:
Lu1 0.000 0.000 0.000 x4
Al1 0.000 0.000 0.500 x4
Ni1 0.250 0.250 0.750 x4
Pt1 0.250 0.250 0.250 x4

Record 12
First-principles (PBE) data for a relaxed structure of HfGa2Cu, as listed in OQMD.

Results
Uncorrected energy ... -4.96 eV/atom
Crystal system ... cubic
Density ... 9.74 g cm⁻³
Total magnetization ... 0.00 μB per formula unit

Lattice parameters (Å, degrees): 6.384 6.384 6.384 90.00 90.00 90.00
Space group F-43m (No. 216)
One atom of each set of equivalent atoms:
Hf1 0.000 0.000 0.000 x4
Ga1 0.000 0.000 0.500 x4
Ga2 0.250 0.250 0.750 x4
Cu1 0.250 0.250 0.250 x4